# 1
! CuGeBi, optimized geometry, DFT PBE-GGA; values from VASP
! Relative energy among the computed polymorphs: 0.000 eV per atom
! SG: No. 216
&SYSTEM
  ibrav = 0, nat = 3, ntyp = 3
/
ATOMIC_SPECIES
Bi 208.98 Bi.upf
Cu 63.55 Cu.upf
Ge 72.64 Ge.upf
ATOMIC_POSITIONS crystal
Bi 0.2500 0.2500 0.2500
Cu 0.0000 0.0000 0.0000
Ge 0.7500 0.7500 0.7500
CELL_PARAMETERS angstrom
-4.3360 -0.8709 1.0683
-2.9573 -1.1578 -3.2581
-1.5868 -4.2583 -0.2233

=====

# 2
! CuGeBi2, optimized geometry, DFT PBE-GGA; values from VASP
! SG: No. 216
! E_tot: -3.668 eV per atom
&SYSTEM
  ibrav = 0, nat = 4, ntyp = 3
/
ATOMIC_SPECIES
Bi 208.98 Bi.upf
Cu 63.55 Cu.upf
Ge 72.64 Ge.upf
ATOMIC_POSITIONS crystal
Bi 0.0000 0.0000 0.0000
Bi 0.7500 0.7500 0.7500
Cu 0.5000 0.5000 0.5000
Ge 0.2500 0.2500 0.2500
CELL_PARAMETERS angstrom
0.6753 2.1110 4.6825
1.0581 5.0527 0.4353
-3.5607 3.2360 1.9205